Entry from Alexandria via LeMat-Bulk: Sr3GeP3 after structural relaxation (PBE-GGA).

The structure belongs to space group R3m (No. 160, hexagonal axes); the cell edges are 10.2919, 10.2919 and 6.1392 Å and the angles 90.00°, 90.00° and 120.00°. The asymmetric unit holds Sr at (0.1892, 0.3783, 0.0000), Ge at (0.0000, 0.0000, 0.7177) and P at (0.2060, 0.4120, 0.5027).

The total energy comes out at -92.18 eV for the cell shown. The calculation puts the formation energy at -0.69 eV/atom. The calculation puts the density of states at the Fermi level at 0.64 states/eV per atom. The excess energy over the best structure of this formula in the dataset comes out at 146.9 meV per atom.